Entry 1:
Compound: Al2CuCl
Source: Alexandria
Functional: PBE-GGA
Structure: relaxed

## Properties
Fermi-level density of states, states/eV/f.u.: 0.71
Formation energy without anion corrections, eV/atom: -0.179

Cell: 4.887 2.770 4.889 Å, 90.03 90.00 90.00°
Element x y z (fractional)
Cl 0.000 0.249 0.375
Cu 0.500 0.751 0.875
Al 0.000 0.250 0.875
Al 0.500 0.250 0.375



Entry 2:
Compound: CeMg2Zn2
Source: Alexandria
Functional: PBE-GGA
Structure: relaxed

## Properties
Fermi-level density of states, states/eV/f.u.: 8.29
Energy relative to the elements, meV per atom: -104

Cell: 5.288 5.288 6.376 Å, 127.11 127.12 81.30°
Element x y z (fractional)
Zn 0.500 0.500 0.806
Zn 0.500 0.500 0.194
Ce 0.000 0.000 0.000
Mg 0.202 0.798 0.500
Mg 0.798 0.202 0.500



no.,V (Å³/atom)
1,16.549
2,21.365